(1)
A geometry-optimized YMnCu structure, computed with PBE-GGA.

The structure in POSCAR format:
```
YMnCu
1.0
4.259 0.000 0.000
2.129 5.048 -0.224
2.129 0.969 5.262
Mn Cu Y
2 2 2
Direct
0.323 0.260 0.094
0.677 0.740 0.906
0.652 0.392 0.304
0.348 0.608 0.696
0.943 0.814 0.300
0.057 0.186 0.700
```

Summary:
As for the symmetry: C2/m (12). The calculation puts the formation enthalpy at 0 K at 0.01 eV per atom. The value obtained for the energy is -6.567 eV/atom.



(2)
A geometry-optimized YMn2Cu4 structure, computed with PBE-GGA.

The structure in POSCAR format:
```
YMn2Cu4
1.0
4.898 0.000 0.000
0.000 4.898 0.000
2.449 2.449 6.500
Y Mn Cu
1 2 4
Direct
0.000 0.000 0.000
0.599 0.599 0.803
0.401 0.401 0.197
0.789 0.789 0.421
0.211 0.211 0.579
0.000 0.500 0.000
0.500 0.000 0.000
```

Summary:
As for the symmetry: I4/mmm (139). The calculation puts the formation enthalpy at 0 K at 1.07 eV per atom. The value obtained for the energy is -4.819 eV/atom.



(3)
A geometry-optimized YMnCu structure, computed with PBE-GGA.

The structure in POSCAR format:
```
YMnCu
1.0
4.619 0.000 0.000
2.309 4.000 0.000
2.309 1.333 3.771
Cu Mn Y
1 1 1
Direct
0.000 0.000 0.000
0.500 0.500 0.500
0.750 0.750 0.750
```

Summary:
As for the symmetry: F-43m (216). The calculation puts the formation enthalpy at 0 K at 0.79 eV per atom. The value obtained for the energy is -5.783 eV/atom.



(4)
A geometry-optimized YMnCu structure, computed with PBE-GGA.

The structure in POSCAR format:
```
YMnCu
1.0
4.260 0.000 0.000
-2.130 3.689 0.000
0.000 0.000 3.724
Cu Mn Y
1 1 1
Direct
0.000 0.000 0.167
0.667 0.333 0.166
0.333 0.667 0.667
```

Summary:
As for the symmetry: P-6m2 (187). The calculation puts the formation enthalpy at 0 K at 0.04 eV per atom. The value obtained for the energy is -6.536 eV/atom.



(5)
A geometry-optimized YMnCu structure, computed with PBE-GGA.

The structure in POSCAR format:
```
YMnCu
1.0
-1.372 0.005 4.294
-1.317 -3.845 1.950
2.559 -1.903 3.186
Cu Mn Y
1 1 1
Direct
0.750 0.750 0.750
0.000 0.000 0.000
0.500 0.500 0.500
```

Summary:
As for the symmetry: F-43m (216). The calculation puts the formation enthalpy at 0 K at 0.27 eV per atom. The value obtained for the energy is -6.309 eV/atom.



(6)
A geometry-optimized YMnCu3 structure, computed with PBE-GGA.

The structure in POSCAR format:
```
YMnCu3
1.0
4.555 0.000 0.000
0.000 4.555 0.000
0.000 0.000 4.555
Y Mn Cu
1 1 3
Direct
0.500 0.500 0.500
0.000 0.000 0.000
0.000 0.500 0.000
0.000 0.000 0.500
0.500 0.000 0.000
```

Summary:
As for the symmetry: Pm-3m (221). The calculation puts the formation enthalpy at 0 K at 0.41 eV per atom. As for the energy above the most stable polymorph in this dataset: 0.000 eV/atom. The value obtained for the energy is -5.171 eV/atom.



(7)
A geometry-optimized YMnCu structure, computed with PBE-GGA.

The structure in POSCAR format:
```
YMnCu
1.0
5.605 -0.028 0.031
4.631 3.159 0.028
0.975 0.301 3.173
Cu Mn Y
1 1 1
Direct
0.971 0.971 0.029
0.362 0.362 0.638
0.667 0.667 0.333
```

Summary:
As for the symmetry: I4mm (107). The calculation puts the formation enthalpy at 0 K at 0.10 eV per atom. The value obtained for the energy is -6.479 eV/atom.



(8)
A geometry-optimized Y2MnZn12Cu3 structure, computed with PBE-GGA.

The structure in POSCAR format:
```
Y2MnZn12Cu3
1.0
11.567 3.553 2.520
8.802 8.303 2.520
8.802 5.123 7.003
Y Mn Zn Cu
2 1 12 3
Direct
0.644 0.644 0.644
0.356 0.356 0.356
0.000 0.000 0.000
0.395 0.395 0.870
0.889 0.889 0.388
0.388 0.889 0.889
0.870 0.395 0.395
0.889 0.388 0.889
0.395 0.870 0.395
0.605 0.605 0.130
0.111 0.111 0.612
0.612 0.111 0.111
0.130 0.605 0.605
0.111 0.612 0.111
0.605 0.130 0.605
0.500 0.000 0.000
0.000 0.500 0.000
0.000 0.000 0.500
```

Summary:
As for the symmetry: R-3m (166). The calculation puts the formation enthalpy at 0 K at 0.01 eV per atom. The value obtained for the energy is -2.754 eV/atom.



(9)
A geometry-optimized MnZn3Cu structure, computed with PBE-GGA.

The structure in POSCAR format:
```
MnZn3Cu
1.0
4.772 -1.245 -0.703
-0.603 4.895 -0.703
-1.422 -1.245 4.610
Mn Zn Cu
1 3 1
Direct
0.246 0.246 0.246
0.719 0.207 0.207
0.207 0.719 0.207
0.207 0.207 0.719
0.745 0.745 0.745
```

Summary:
As for the symmetry: R3m (160). The calculation puts the formation enthalpy at 0 K at 0.43 eV per atom. As for the energy above the most stable polymorph in this dataset: 0.000 eV/atom. The value obtained for the energy is -2.992 eV/atom.



(10)
A geometry-optimized MnZn3Cu7 structure, computed with PBE-GGA.

The structure in POSCAR format:
```
MnZn3Cu7
1.0
-3.078 -0.347 3.587
5.817 -2.790 0.769
3.491 5.463 -0.429
Mn Zn Cu
1 3 7
Direct
0.500 0.500 0.500
0.000 0.785 0.215
0.500 0.000 0.000
0.000 0.215 0.785
0.374 0.211 0.211
0.332 0.067 0.584
0.668 0.416 0.933
0.332 0.584 0.067
0.000 0.500 0.500
0.668 0.933 0.416
0.626 0.789 0.789
```

Summary:
As for the symmetry: C2/m (12). The calculation puts the formation enthalpy at 0 K at 0.21 eV per atom. The value obtained for the energy is -3.576 eV/atom.



(11)
A geometry-optimized MnZn4Cu structure, computed with PBE-GGA.

The structure in POSCAR format:
```
MnZn4Cu
1.0
0.000 3.517 3.517
3.517 0.000 3.517
3.517 3.517 0.000
Mn Zn Cu
1 4 1
Direct
0.000 0.000 0.000
0.875 0.375 0.375
0.375 0.375 0.875
0.375 0.875 0.375
0.375 0.375 0.375
0.750 0.750 0.750
```

Summary:
As for the symmetry: F-43m (216). The calculation puts the formation enthalpy at 0 K at 0.13 eV per atom. As for the energy above the most stable polymorph in this dataset: 0.144 eV/atom. The value obtained for the energy is -2.933 eV/atom.



(12)
A geometry-optimized Mn2ZnCu structure, computed with PBE-GGA.

The structure in POSCAR format:
```
Mn2ZnCu
1.0
3.546 0.000 0.000
0.000 2.750 0.001
0.000 2.749 5.515
Cu Mn Zn
1 2 1
Direct
0.500 0.750 0.750
0.000 0.004 0.996
0.000 0.496 0.504
0.500 0.250 0.250
```

Summary:
As for the symmetry: Pmmm (47). The calculation puts the formation enthalpy at 0 K at 0.14 eV per atom. The value obtained for the energy is -5.788 eV/atom.



(13)
A geometry-optimized MnZn2Cu structure, computed with PBE-GGA.

The structure in POSCAR format:
```
MnZn2Cu
1.0
2.872 0.000 0.000
0.000 2.872 0.000
0.000 0.000 6.675
Cu Mn Zn
1 1 2
Direct
0.000 0.000 0.498
0.500 0.500 0.739
0.000 0.000 0.997
0.500 0.500 0.265
```

Summary:
As for the symmetry: P4mm (99). The calculation puts the formation enthalpy at 0 K at 0.04 eV per atom. The value obtained for the energy is -3.909 eV/atom.



(14)
A geometry-optimized Mn2ZnCu structure, computed with PBE-GGA.

The structure in POSCAR format:
```
Mn2ZnCu
1.0
-3.837 7.670 0.094
-4.438 6.976 -2.282
-5.891 6.225 -0.330
Cu Mn Zn
1 2 1
Direct
0.748 0.748 0.748
0.996 0.996 0.996
0.256 0.256 0.256
0.501 0.501 0.501
```

Summary:
As for the symmetry: R3m (160). The calculation puts the formation enthalpy at 0 K at 0.07 eV per atom. The value obtained for the energy is -5.856 eV/atom.



(15)
A geometry-optimized MnZn2Cu structure, computed with PBE-GGA.

The structure in POSCAR format:
```
MnZn2Cu
1.0
-1.141 0.639 2.312
0.480 -1.473 2.157
6.497 4.735 3.403
Mn Zn Cu
1 2 1
Direct
0.502 0.502 0.500
0.083 0.083 0.751
0.249 0.249 0.249
0.666 0.666 0.000
```

Summary:
As for the symmetry: Cm (8). The calculation puts the formation enthalpy at 0 K at 0.06 eV per atom. The value obtained for the energy is -3.890 eV/atom.



(16)
A geometry-optimized MnZn4Cu structure, computed with PBE-GGA.

The structure in POSCAR format:
```
MnZn4Cu
1.0
-2.576 -0.829 0.339
-1.491 -1.448 -3.900
1.178 -7.575 1.391
Mn Zn Cu
1 4 1
Direct
0.500 0.500 0.500
0.658 0.529 0.155
0.342 0.471 0.845
0.156 0.025 0.662
0.844 0.975 0.338
0.000 0.000 0.000
```

Summary:
As for the symmetry: C2/m (12). The calculation puts the formation enthalpy at 0 K at 0.11 eV per atom. As for the energy above the most stable polymorph in this dataset: 0.126 eV/atom. The value obtained for the energy is -2.950 eV/atom.



(17)
A geometry-optimized MnZn15Cu4 structure, computed with PBE-GGA.

The structure in POSCAR format:
```
MnZn15Cu4
1.0
-2.175 0.943 -3.020
-0.263 -3.706 -0.968
-15.460 -1.675 10.613
Mn Zn Cu
1 15 4
Direct
0.000 0.000 0.000
0.500 0.500 0.000
0.500 0.500 0.202
0.500 0.500 0.399
0.500 0.500 0.601
0.500 0.500 0.798
0.500 0.000 0.101
0.500 0.000 0.300
0.500 0.000 0.500
0.500 0.000 0.700
0.500 0.000 0.899
0.000 0.500 0.101
0.000 0.500 0.300
0.000 0.500 0.500
0.000 0.500 0.700
0.000 0.500 0.899
0.000 0.000 0.199
0.000 0.000 0.402
0.000 0.000 0.598
0.000 0.000 0.801
```

Summary:
As for the symmetry: P4/mmm (123). The calculation puts the formation enthalpy at 0 K at -0.03 eV per atom. The value obtained for the energy is -2.261 eV/atom.



(18)
A geometry-optimized Mn2Zn12Cu structure, computed with PBE-GGA.

The structure in POSCAR format:
```
Mn2Zn12Cu
1.0
4.932 -1.063 0.000
-1.063 4.932 0.000
0.000 0.000 19.675
Mn Zn Cu
4 24 2
Direct
0.500 0.000 0.250
0.000 0.500 0.250
0.000 0.500 0.750
0.500 0.000 0.750
0.500 0.500 0.812
0.000 0.000 0.812
0.750 0.750 0.932
0.250 0.750 0.883
0.000 0.000 0.312
0.250 0.750 0.117
0.750 0.250 0.615
0.500 0.500 0.312
0.250 0.250 0.932
0.750 0.750 0.068
0.250 0.250 0.565
0.750 0.250 0.385
0.000 0.000 0.688
0.250 0.250 0.435
0.250 0.250 0.068
0.750 0.750 0.435
0.750 0.750 0.565
0.000 0.000 0.188
0.250 0.750 0.615
0.500 0.500 0.688
0.750 0.250 0.883
0.500 0.500 0.188
0.250 0.750 0.385
0.750 0.250 0.117
0.500 0.000 0.000
0.000 0.500 0.000
```

Summary:
As for the symmetry: Pmmm (47). The calculation puts the formation enthalpy at 0 K at 0.06 eV per atom. The value obtained for the energy is -2.455 eV/atom.



(19)
A geometry-optimized Mn4Zn10Cu structure, computed with PBE-GGA.

The structure in POSCAR format:
```
Mn4Zn10Cu
1.0
-4.302 -3.844 -1.235
-2.774 -3.159 5.403
-6.333 2.598 -0.122
Mn Zn Cu
4 10 1
Direct
0.235 0.000 0.530
0.765 0.470 0.000
0.235 0.530 0.000
0.765 0.000 0.470
0.250 0.500 0.500
0.718 0.214 0.786
0.068 0.214 0.214
0.496 0.786 0.786
0.718 0.786 0.214
0.282 0.786 0.214
0.750 0.500 0.500
0.282 0.214 0.786
0.504 0.214 0.214
0.932 0.786 0.786
0.000 0.000 0.000
```

Summary:
As for the symmetry: I4/mmm (139). The calculation puts the formation enthalpy at 0 K at 0.11 eV per atom. The value obtained for the energy is -3.454 eV/atom.



(20)
A geometry-optimized MnZn3Cu3 structure, computed with PBE-GGA.

The structure in POSCAR format:
```
MnZn3Cu3
1.0
0.053 2.582 5.455
-6.019 -0.419 0.134
0.389 -4.855 2.294
Mn Zn Cu
2 6 6
Direct
0.282 0.282 0.000
0.718 0.718 0.000
0.259 0.259 0.500
0.291 0.709 0.500
0.709 0.291 0.500
0.259 0.741 0.000
0.741 0.259 0.000
0.741 0.741 0.500
0.000 0.000 0.752
0.500 0.000 0.253
0.000 0.500 0.253
0.500 0.000 0.747
0.000 0.500 0.747
0.000 0.000 0.248
```

Summary:
As for the symmetry: Cmmm (65). The calculation puts the formation enthalpy at 0 K at 0.06 eV per atom. The value obtained for the energy is -3.552 eV/atom.



(21)
A geometry-optimized MnZn2Cu structure, computed with PBE-GGA.

The structure in POSCAR format:
```
MnZn2Cu
1.0
-6.061 2.571 -1.777
0.362 -3.274 -5.971
-4.027 -2.400 -2.822
Zn Mn Cu
4 2 2
Direct
0.640 0.125 0.250
0.110 0.625 0.250
0.375 0.360 0.750
0.875 0.890 0.750
0.500 0.500 0.000
0.250 0.750 0.500
0.000 0.000 0.000
0.750 0.250 0.500
```

Summary:
As for the symmetry: I-42d (122). The calculation puts the formation enthalpy at 0 K at 0.31 eV per atom. The value obtained for the energy is -3.638 eV/atom.



(22)
A geometry-optimized MnZn4Cu3 structure, computed with PBE-GGA.

The structure in POSCAR format:
```
MnZn4Cu3
1.0
4.363 0.000 0.000
0.000 5.697 0.000
0.000 0.000 8.557
Zn Mn Cu
8 2 6
Direct
0.500 0.754 0.000
0.500 0.754 0.500
0.500 0.246 0.000
0.500 0.246 0.500
0.097 0.753 0.750
0.903 0.753 0.250
0.903 0.247 0.250
0.097 0.247 0.750
0.000 0.500 0.000
0.000 0.500 0.500
0.000 0.000 0.000
0.000 0.000 0.500
0.609 0.000 0.750
0.391 0.000 0.250
0.600 0.500 0.750
0.400 0.500 0.250
```

Summary:
As for the symmetry: Pmma (51). The calculation puts the formation enthalpy at 0 K at -0.03 eV per atom. The value obtained for the energy is -3.350 eV/atom.



(23)
A geometry-optimized Mn2ZnCu structure, computed with PBE-GGA.

The structure in POSCAR format:
```
Mn2ZnCu
1.0
-0.443 -2.588 -0.804
1.399 0.480 -2.314
6.012 -2.027 3.215
Cu Mn Zn
1 2 1
Direct
0.500 0.500 0.750
0.000 0.000 0.993
0.000 0.000 0.507
0.500 0.500 0.250
```

Summary:
As for the symmetry: P4/mmm (123). The calculation puts the formation enthalpy at 0 K at 0.14 eV per atom. The value obtained for the energy is -5.789 eV/atom.